A plane-wave DFT calculation with GGA-PBE was carried out for a relaxed LaPm8Nd4 crystal.

a = 7.971 Å, b = 7.971 Å, c = 7.971 Å
α = 90.93°, β = 90.93°, γ = 90.93°
Fractional positions:
La 0.000 0.000 0.000
Pm 0.254 0.735 0.735
Pm 0.263 0.263 0.263
Pm 0.265 0.265 0.746
Pm 0.265 0.746 0.265
Pm 0.735 0.254 0.735
Pm 0.735 0.735 0.254
Pm 0.737 0.737 0.737
Pm 0.746 0.265 0.265
Nd 0.000 0.000 0.500
Nd 0.000 0.500 0.000
Nd 0.500 0.000 0.000
Nd 0.500 0.500 0.500

## Properties
ρ = 6.15 g/cm3
DOS(E_F) = 1.69 states/eV/atom
Energy of formation = 0.48 eV per atom
Crystal system = trigonal
Total energy = -4.289 eV/atom

A plane-wave DFT calculation with GGA-PBE was carried out for a relaxed LaPm7Nd4 crystal.

a = 6.849 Å, b = 6.849 Å, c = 13.019 Å
α = 114.81°, β = 114.81°, γ = 53.05°
Fractional positions:
La 0.000 0.000 0.000
Pm 0.062 0.062 0.328
Pm 0.210 0.210 0.921
Pm 0.369 0.369 0.499
Pm 0.500 0.500 0.000
Pm 0.631 0.631 0.501
Pm 0.790 0.790 0.079
Pm 0.938 0.938 0.672
Nd 0.243 0.243 0.678
Nd 0.365 0.365 0.224
Nd 0.635 0.635 0.776
Nd 0.757 0.757 0.322

## Properties
ρ = 6.67 g/cm3
DOS(E_F) = 1.57 states/eV/atom
Energy of formation = 0.22 eV per atom
Polymorph energy (0 for the lowest one) = 209 meV/atom
Crystal system = monoclinic
Total energy = -4.549 eV/atom

A plane-wave DFT calculation with GGA-PBE was carried out for a relaxed La2Pm3Nd2 crystal.

a = 17.301 Å, b = 3.560 Å, c = 9.017 Å
α = 90.00°, β = 116.49°, γ = 90.00°
Fractional positions:
La 0.078 0.000 0.204
La 0.422 0.500 0.796
La 0.578 0.500 0.204
La 0.922 0.000 0.796
Pm 0.000 0.000 0.500
Pm 0.222 0.000 0.647
Pm 0.278 0.500 0.353
Pm 0.500 0.500 0.500
Pm 0.722 0.500 0.647
Pm 0.778 0.000 0.353
Nd 0.140 0.500 0.906
Nd 0.360 0.000 0.094
Nd 0.640 0.000 0.906
Nd 0.860 0.500 0.094

## Properties
ρ = 6.69 g/cm3
DOS(E_F) = 1.70 states/eV/atom
Energy of formation = 0.11 eV per atom
Polymorph energy (0 for the lowest one) = 92 meV/atom
Crystal system = monoclinic
Total energy = -4.698 eV/atom

A plane-wave DFT calculation with GGA-PBE was carried out for a relaxed LaPm4Nd8 crystal.

a = 10.344 Å, b = 10.344 Å, c = 10.344 Å
α = 42.69°, β = 42.69°, γ = 42.69°
Fractional positions:
La 0.000 0.000 0.000
Pm 0.000 0.000 0.500
Pm 0.000 0.500 0.000
Pm 0.500 0.000 0.000
Pm 0.500 0.500 0.500
Nd 0.249 0.249 0.697
Nd 0.249 0.697 0.249
Nd 0.281 0.281 0.281
Nd 0.303 0.751 0.751
Nd 0.697 0.249 0.249
Nd 0.719 0.719 0.719
Nd 0.751 0.303 0.751
Nd 0.751 0.751 0.303

## Properties
ρ = 6.75 g/cm3
DOS(E_F) = 1.16 states/eV/atom
Energy of formation = 0.15 eV per atom
Crystal system = trigonal
Total energy = -4.623 eV/atom

A plane-wave DFT calculation with GGA-PBE was carried out for a relaxed La7Pm2Nd2 crystal.

a = 8.263 Å, b = 8.263 Å, c = 6.279 Å
α = 104.94°, β = 104.94°, γ = 89.97°
Fractional positions:
La 0.000 0.000 0.000
La 0.046 0.586 0.821
La 0.414 0.954 0.179
La 0.424 0.424 0.196
La 0.576 0.576 0.804
La 0.586 0.046 0.821
La 0.954 0.414 0.179
Pm 0.215 0.785 0.500
Pm 0.785 0.215 0.500
Nd 0.228 0.228 0.594
Nd 0.772 0.772 0.406

## Properties
ρ = 6.45 g/cm3
DOS(E_F) = 1.54 states/eV/atom
Energy of formation = 0.11 eV per atom
Crystal system = monoclinic
Total energy = -4.757 eV/atom

A plane-wave DFT calculation with GGA-PBE was carried out for a relaxed La12PmNd7 crystal.

a = 8.976 Å, b = 8.976 Å, c = 8.976 Å
α = 89.38°, β = 89.38°, γ = 89.38°
Fractional positions:
La 0.013 0.358 0.891
La 0.109 0.987 0.642
La 0.219 0.759 0.356
La 0.241 0.644 0.781
La 0.356 0.219 0.759
La 0.358 0.891 0.013
La 0.642 0.109 0.987
La 0.644 0.781 0.241
La 0.759 0.356 0.219
La 0.781 0.241 0.644
La 0.891 0.013 0.358
La 0.987 0.642 0.109
Pm 0.500 0.500 0.500
Nd 0.000 0.000 0.000
Nd 0.116 0.358 0.430
Nd 0.358 0.430 0.116
Nd 0.430 0.116 0.358
Nd 0.570 0.884 0.642
Nd 0.642 0.570 0.884
Nd 0.884 0.642 0.570

## Properties
ρ = 6.48 g/cm3
DOS(E_F) = 1.93 states/eV/atom
Energy of formation = 0.18 eV per atom
Polymorph energy (0 for the lowest one) = 0 meV/atom
Crystal system = trigonal
Total energy = -4.688 eV/atom

A plane-wave DFT calculation with GGA-PBE was carried out for a relaxed La5Pm2Nd12 crystal.

a = 10.153 Å, b = 10.153 Å, c = 10.631 Å
α = 109.59°, β = 109.59°, γ = 42.06°
Fractional positions:
La 0.000 0.000 0.000
La 0.186 0.186 0.685
La 0.325 0.325 0.287
La 0.675 0.675 0.713
La 0.814 0.814 0.315
Pm 0.281 0.719 0.500
Pm 0.719 0.281 0.500
Nd 0.027 0.027 0.743
Nd 0.087 0.581 0.976
Nd 0.089 0.594 0.632
Nd 0.406 0.911 0.368
Nd 0.419 0.913 0.024
Nd 0.499 0.499 0.826
Nd 0.501 0.501 0.174
Nd 0.581 0.087 0.976
Nd 0.594 0.089 0.632
Nd 0.911 0.406 0.368
Nd 0.913 0.419 0.024
Nd 0.973 0.973 0.257

## Properties
ρ = 6.58 g/cm3
DOS(E_F) = 1.68 states/eV/atom
Energy of formation = 0.15 eV per atom
Polymorph energy (0 for the lowest one) = 53 meV/atom
Crystal system = monoclinic
Total energy = -4.657 eV/atom

A plane-wave DFT calculation with GGA-PBE was carried out for a relaxed La8PmNd3 crystal.

a = 8.642 Å, b = 8.642 Å, c = 8.642 Å
α = 117.63°, β = 117.63°, γ = 94.16°
Fractional positions:
La 0.129 0.129 0.758
La 0.248 0.248 0.499
La 0.251 0.752 0.000
La 0.371 0.371 0.242
La 0.629 0.871 0.000
La 0.749 0.749 0.501
La 0.752 0.251 0.000
La 0.871 0.629 0.000
Pm 0.000 0.000 0.000
Nd 0.250 0.750 0.500
Nd 0.500 0.500 0.000
Nd 0.750 0.250 0.500

## Properties
ρ = 5.95 g/cm3
DOS(E_F) = 1.63 states/eV/atom
Energy of formation = 0.47 eV per atom
Crystal system = tetragonal
Total energy = -4.398 eV/atom

A plane-wave DFT calculation with GGA-PBE was carried out for a relaxed LaPmNd5 crystal.

a = 7.012 Å, b = 7.012 Å, c = 12.596 Å
α = 108.53°, β = 108.53°, γ = 59.99°
Fractional positions:
La 0.032 0.968 0.750
La 0.968 0.032 0.250
Pm 0.000 0.500 0.000
Pm 0.500 0.000 0.500
Nd 0.154 0.406 0.750
Nd 0.196 0.651 0.501
Nd 0.349 0.804 0.999
Nd 0.406 0.154 0.250
Nd 0.407 0.593 0.250
Nd 0.593 0.407 0.750
Nd 0.594 0.846 0.750
Nd 0.651 0.196 0.001
Nd 0.804 0.349 0.499
Nd 0.846 0.594 0.250

## Properties
ρ = 6.69 g/cm3
DOS(E_F) = 1.45 states/eV/atom
Energy of formation = 0.15 eV per atom
Polymorph energy (0 for the lowest one) = 0 meV/atom
Crystal system = monoclinic
Total energy = -4.634 eV/atom

A plane-wave DFT calculation with GGA-PBE was carried out for a relaxed La7Pm3Nd crystal.

a = 8.713 Å, b = 8.713 Å, c = 6.089 Å
α = 110.21°, β = 110.21°, γ = 83.62°
Fractional positions:
La 0.000 0.000 0.000
La 0.096 0.508 0.302
La 0.290 0.290 0.794
La 0.492 0.904 0.698
La 0.508 0.096 0.302
La 0.710 0.710 0.206
La 0.904 0.492 0.698
Pm 0.294 0.706 0.000
Pm 0.500 0.500 0.500
Pm 0.706 0.294 0.000
Nd 0.000 0.000 0.500

## Properties
ρ = 6.33 g/cm3
DOS(E_F) = 1.56 states/eV/atom
Energy of formation = 0.19 eV per atom
Crystal system = monoclinic
Total energy = -4.674 eV/atom

A plane-wave DFT calculation with GGA-PBE was carried out for a relaxed La7PmNd2 crystal.

a = 9.321 Å, b = 9.321 Å, c = 5.661 Å
α = 90.00°, β = 90.00°, γ = 121.89°
Fractional positions:
La 0.000 0.000 0.000
La 0.199 0.427 0.000
La 0.258 0.742 0.500
La 0.427 0.199 0.000
La 0.573 0.801 0.000
La 0.742 0.258 0.500
La 0.801 0.573 0.000
Pm 0.500 0.500 0.500
Nd 0.200 0.800 0.000
Nd 0.800 0.200 0.000

## Properties
ρ = 5.59 g/cm3
DOS(E_F) = 1.75 states/eV/atom
Energy of formation = 0.55 eV per atom
Polymorph energy (0 for the lowest one) = 239 meV/atom
Crystal system = orthorhombic
Total energy = -4.329 eV/atom

A plane-wave DFT calculation with GGA-PBE was carried out for a relaxed La2Pm2Nd3 crystal.

a = 17.282 Å, b = 3.565 Å, c = 9.025 Å
α = 90.00°, β = 116.40°, γ = 90.00°
Fractional positions:
La 0.077 0.000 0.202
La 0.423 0.500 0.798
La 0.577 0.500 0.202
La 0.923 0.000 0.798
Pm 0.140 0.500 0.906
Pm 0.360 0.000 0.094
Pm 0.640 0.000 0.906
Pm 0.860 0.500 0.094
Nd 0.000 0.000 0.500
Nd 0.222 0.000 0.648
Nd 0.278 0.500 0.352
Nd 0.500 0.500 0.500
Nd 0.722 0.500 0.648
Nd 0.778 0.000 0.352

## Properties
ρ = 6.67 g/cm3
DOS(E_F) = 1.71 states/eV/atom
Energy of formation = 0.11 eV per atom
Polymorph energy (0 for the lowest one) = 90 meV/atom
Crystal system = monoclinic
Total energy = -4.703 eV/atom